(1)
Here is crystalline MgMn2Pt at its relaxed geometry from Alexandria. Energies are from PBE.

abc: 3.9711 3.9711 3.9206
angles: 90.00 90.00 90.00
Last column: nearest neighbours and their distance in Å.
Fractional coordinates of all 4 atoms:
Mg1 0.0000 0.5000 0.5000  8 Mn 2.79, 4 Pt 2.81
Mn1 0.5000 0.5000 0.0000  4 Mg 2.79, 4 Pt 2.79, 4 Mn 2.81
Pt1 0.5000 0.0000 0.5000  8 Mn 2.79, 4 Mg 2.81
Mn2 0.0000 0.0000 0.0000  4 Mg 2.79, 4 Pt 2.79, 4 Mn 2.81

Properties
magnetization	7.7	μB/cell
energy of formation from the pure elements	-0.18	eV/atom
Fermi-level density of states	0.68	states/eV per atom

---

(2)
Here is crystalline Re3AgSe at its relaxed geometry from Alexandria. Energies are from PBE.

abc: 4.8062 4.8062 4.8062
angles: 90.00 90.00 90.00
Last column: nearest neighbours and their distance in Å.
Fractional coordinates of all 5 atoms:
Re1 0.0000 0.0000 0.5000  2 Ag 2.40
Re2 0.5000 0.0000 0.0000  2 Ag 2.40
Se1 0.5000 0.5000 0.5000  12 Re 3.40
Ag1 0.0000 0.0000 0.0000  6 Re 2.40
Re3 0.0000 0.5000 0.0000  2 Ag 2.40

Properties
energy relative to the elements, uncorrected	3.201	eV per atom
magnetization	4.0	μB/cell
Fermi-level density of states	1.43	states/eV per atom
relative energy among the computed polymorphs	1428.4	meV/atom

---

(3)
Here is crystalline AsIrPb3 at its relaxed geometry from Alexandria. Energies are from PBE.

abc: 5.4279 5.4279 5.4279
angles: 90.00 90.00 90.00
Last column: nearest neighbours and their distance in Å.
Fractional coordinates of all 5 atoms:
As1 0.0000 0.0000 0.0000  6 Pb 2.71
Pb1 0.5000 0.0000 0.0000  2 As 2.71
Pb2 0.0000 0.0000 0.5000  2 As 2.71
Pb3 0.0000 0.5000 0.0000  2 As 2.71
Ir1 0.5000 0.5000 0.5000  12 Pb 3.84

Properties
magnetization	0.0	μB/cell
energy of formation from the pure elements	1.19	eV/atom
Fermi-level density of states	0.67	states/eV per atom
relative energy among the computed polymorphs	878.2	meV/atom

---

(4)
Here is crystalline TlFeC3 at its relaxed geometry from Alexandria. Energies are from PBE.

abc: 4.3230 4.3230 4.3230
angles: 90.00 90.00 90.00
Last column: nearest neighbours and their distance in Å.
Fractional coordinates of all 5 atoms:
Fe1 0.5000 0.5000 0.5000  12 C 3.06
C1 0.0000 0.0000 0.5000  2 Tl 2.16
C2 0.0000 0.5000 0.0000  2 Tl 2.16
Tl1 0.0000 0.0000 0.0000  6 C 2.16
C3 0.5000 0.0000 0.0000  2 Tl 2.16

Properties
magnetization	0.5	μB/cell
energy of formation from the pure elements	4.02	eV/atom
Fermi-level density of states	1.26	states/eV per atom
relative energy among the computed polymorphs	2001.7	meV/atom

---

(5)
Here is crystalline Y2Hf2Ir at its relaxed geometry from Alexandria. Energies are from PBE.

abc: 6.8454 6.8454 5.2558
angles: 90.00 90.00 90.00
Last column: nearest neighbours and their distance in Å.
Fractional coordinates of all 10 atoms:
Ir1 0.5000 0.5000 0.0000  4 Hf 2.60
Hf1 0.6520 0.1520 0.0000  2 Ir 2.60
Y1 0.3326 0.1674 0.5000  6 Hf 3.16-3.42, 1 Y 3.24
Hf2 0.1520 0.3480 0.0000  2 Ir 2.60
Y2 0.8326 0.3326 0.5000  6 Hf 3.16-3.42, 1 Y 3.24
Y3 0.1674 0.6674 0.5000  6 Hf 3.16-3.42, 1 Y 3.24
Ir2 0.0000 0.0000 0.0000  4 Hf 2.60
Hf3 0.3480 0.8480 0.0000  2 Ir 2.60
Hf4 0.8480 0.6520 0.0000  2 Ir 2.60
Y4 0.6674 0.8326 0.5000  6 Hf 3.16-3.42, 1 Y 3.24

Properties
magnetization	0.0	μB/cell
energy of formation from the pure elements	-0.25	eV/atom
Fermi-level density of states	1.26	states/eV per atom

---

(6)
Here is crystalline BaSrCdBr6 at its relaxed geometry from Alexandria. Energies are from PBE.

abc: 7.5969 7.5969 13.8628
angles: 90.00 90.00 120.00
Last column: nearest neighbours and their distance in Å.
Fractional coordinates of all 18 atoms:
Br1 0.6548 0.6308 0.1317  1 Cd 2.83, 1 Sr 3.06
Br2 0.3692 0.3452 0.3683  1 Cd 2.83, 1 Sr 3.06
Br3 0.3692 0.0240 0.1317  1 Cd 2.83, 1 Sr 3.06
Br4 0.6308 0.6548 0.6317  1 Cd 2.83, 1 Sr 3.06
Br5 0.3452 0.9760 0.6317  1 Cd 2.83, 1 Sr 3.06
Br6 0.3452 0.3692 0.8683  1 Cd 2.83, 1 Sr 3.06
Cd1 0.3333 0.6667 0.7500  6 Br 2.83
Sr1 0.3333 0.6667 0.2500  6 Br 3.06
Ba1 0.0000 0.0000 0.0000  6 Br 3.27
Ba2 0.0000 0.0000 0.5000  6 Br 3.27
Sr2 0.6667 0.3333 0.7500  6 Br 3.06
Br7 0.9760 0.3452 0.1317  1 Cd 2.83, 1 Sr 3.06
Cd2 0.6667 0.3333 0.2500  6 Br 2.83
Br8 0.6308 0.9760 0.8683  1 Cd 2.83, 1 Sr 3.06
Br9 0.0240 0.6548 0.8683  1 Cd 2.83, 1 Sr 3.06
Br10 0.6548 0.0240 0.3683  1 Cd 2.83, 1 Sr 3.06
Br11 0.9760 0.6308 0.3683  1 Cd 2.83, 1 Sr 3.06
Br12 0.0240 0.3692 0.6317  1 Cd 2.83, 1 Sr 3.06

Properties
energy relative to the elements, uncorrected	-1.692	eV per atom
magnetization	0.0	μB/cell
Fermi-level density of states	0.00	states/eV per atom

---

(7)
Here is crystalline SrCo2 at its relaxed geometry from Alexandria. Energies are from PBE.

abc: 6.0158 6.0158 5.9931
angles: 65.35 65.35 38.33
Last column: nearest neighbours and their distance in Å.
Fractional coordinates of all 6 atoms:
Co1 0.0992 0.0992 0.8028  4 Co 2.31-2.54
Co2 0.9008 0.9008 0.1972  4 Co 2.31-2.54
Sr1 0.3883 0.3883 0.7951  10 Co 3.11-3.36, 1 Sr 3.32
Sr2 0.6117 0.6117 0.2049  10 Co 3.11-3.36, 1 Sr 3.32
Co3 0.2962 0.2962 0.3773  5 Co 2.31-2.54
Co4 0.7038 0.7038 0.6227  5 Co 2.31-2.54

Properties
magnetization	5.0	μB/cell
energy of formation from the pure elements	0.26	eV/atom
Fermi-level density of states	0.85	states/eV per atom